Arrangement one

# AlAgBr, optimized geometry, DFT PBE-GGA
data_AlAgBr
_chemical_formula_sum 'Al4 Ag4 Br4'
_cell_length_a 14.590
_cell_length_b 3.362
_cell_length_c 5.822
_cell_angle_alpha 90.00
_cell_angle_beta 90.00
_cell_angle_gamma 90.00
_symmetry_space_group_name_H-M 'A m m 2'
_symmetry_Int_Tables_number 38
_symmetry_space_group_name_Hall 'A 2 -2'
loop_
_atom_site_label
_atom_site_type_symbol
_atom_site_fract_x
_atom_site_fract_y
_atom_site_fract_z
Al1 Al 0.129 0.000 0.000
Ag1 Ag 0.000 0.000 0.333
Ag2 Ag 0.500 0.000 0.293
Br1 Br 0.252 0.000 0.666
# Spin magnetization, μB/cell: 0.0
# Crystal system: orthorhombic


Arrangement two

# AlAgBr, optimized geometry, DFT PBE-GGA
data_AlAgBr
_chemical_formula_sum 'Al4 Ag4 Br4'
_cell_length_a 3.795
_cell_length_b 5.857
_cell_length_c 12.241
_cell_angle_alpha 90.00
_cell_angle_beta 90.00
_cell_angle_gamma 90.00
_symmetry_space_group_name_H-M 'F m m 2'
_symmetry_Int_Tables_number 42
_symmetry_space_group_name_Hall 'F 2 -2'
loop_
_atom_site_label
_atom_site_type_symbol
_atom_site_fract_x
_atom_site_fract_y
_atom_site_fract_z
Al1 Al 0.000 0.000 0.000
Ag1 Ag 0.000 0.000 0.358
Br1 Br 0.000 0.000 0.666
# Spin magnetization, μB/cell: 0.0
# Crystal system: orthorhombic


Arrangement three

# AlAgBr, optimized geometry, DFT PBE-GGA
data_AlAgBr
_chemical_formula_sum 'Al4 Ag4 Br4'
_cell_length_a 6.971
_cell_length_b 6.971
_cell_length_c 6.971
_cell_angle_alpha 90.00
_cell_angle_beta 90.00
_cell_angle_gamma 90.00
_symmetry_space_group_name_H-M 'F -4 3 m'
_symmetry_Int_Tables_number 216
_symmetry_space_group_name_Hall 'F -4 2 3'
loop_
_atom_site_label
_atom_site_type_symbol
_atom_site_fract_x
_atom_site_fract_y
_atom_site_fract_z
Al1 Al 0.000 0.000 0.000
Ag1 Ag 0.000 0.000 0.500
Br1 Br 0.250 0.250 0.250
# Spin magnetization, μB/cell: 0.0
# Crystal system: cubic


Quick ranking, most stable first: arrangement one, arrangement two, arrangement three.


Arrangement one

# Cs2AlAgBr6, optimized geometry, DFT PBE-GGA
data_Cs2AlAgBr6
_chemical_formula_sum 'Cs2 Al1 Ag1 Br6'
_cell_length_a 7.7358
_cell_length_b 7.7358
_cell_length_c 6.9874
_cell_angle_alpha 90.00
_cell_angle_beta 90.00
_cell_angle_gamma 120.00
_symmetry_space_group_name_H-M 'P -3 m 1'
_symmetry_Int_Tables_number 164
_symmetry_space_group_name_Hall '-P 3 2"'
loop_
_atom_site_label
_atom_site_type_symbol
_atom_site_fract_x
_atom_site_fract_y
_atom_site_fract_z
Cs1 Cs 0.3333 0.6667 0.2803
Al1 Al 0.0000 0.0000 0.5000
Ag1 Ag 0.0000 0.0000 0.0000
Br1 Br 0.1551 0.3102 0.7118
# Spin magnetization, μB/cell: 0.0
# Crystal system: trigonal


Arrangement two

# Cs2AlAgBr6, optimized geometry, DFT PBE-GGA
data_Cs2AlAgBr6
_chemical_formula_sum 'Cs8 Al4 Ag4 Br24'
_cell_length_a 10.926
_cell_length_b 10.926
_cell_length_c 10.926
_cell_angle_alpha 90.00
_cell_angle_beta 90.00
_cell_angle_gamma 90.00
_symmetry_space_group_name_H-M 'F m -3 m'
_symmetry_Int_Tables_number 225
_symmetry_space_group_name_Hall '-F 4 2 3'
loop_
_atom_site_label
_atom_site_type_symbol
_atom_site_fract_x
_atom_site_fract_y
_atom_site_fract_z
Cs1 Cs 0.250 0.250 0.250
Al1 Al 0.000 0.000 0.000
Ag1 Ag 0.000 0.000 0.500
Br1 Br 0.000 0.000 0.234
# Spin magnetization, μB/cell: 0.0
# Crystal system: cubic


Quick ranking, most stable first: arrangement one, arrangement two.


Arrangement one

# K2AlAgBr6, optimized geometry, DFT PBE-GGA
data_K2AlAgBr6
_chemical_formula_sum 'K8 Al4 Ag4 Br24'
_cell_length_a 10.739
_cell_length_b 10.739
_cell_length_c 10.739
_cell_angle_alpha 90.00
_cell_angle_beta 90.00
_cell_angle_gamma 90.00
_symmetry_space_group_name_H-M 'F m -3 m'
_symmetry_Int_Tables_number 225
_symmetry_space_group_name_Hall '-F 4 2 3'
loop_
_atom_site_label
_atom_site_type_symbol
_atom_site_fract_x
_atom_site_fract_y
_atom_site_fract_z
K1 K 0.250 0.250 0.250
Al1 Al 0.000 0.000 0.000
Ag1 Ag 0.000 0.000 0.500
Br1 Br 0.000 0.000 0.236
# Spin magnetization, μB/cell: 0.0
# Crystal system: cubic


Arrangement two

# K2AlAgBr6, optimized geometry, DFT PBE-GGA
data_K2AlAgBr6
_chemical_formula_sum 'K2 Al1 Ag1 Br6'
_cell_length_a 7.4488
_cell_length_b 7.4488
_cell_length_c 7.0329
_cell_angle_alpha 90.00
_cell_angle_beta 90.00
_cell_angle_gamma 120.00
_symmetry_space_group_name_H-M 'P -3 m 1'
_symmetry_Int_Tables_number 164
_symmetry_space_group_name_Hall '-P 3 2"'
loop_
_atom_site_label
_atom_site_type_symbol
_atom_site_fract_x
_atom_site_fract_y
_atom_site_fract_z
K1 K 0.3333 0.6667 0.1660
Al1 Al 0.0000 0.0000 0.0000
Ag1 Ag 0.0000 0.0000 0.5000
Br1 Br 0.1598 0.3195 0.7890
# Spin magnetization, μB/cell: 0.0
# Crystal system: trigonal


Quick ranking, most stable first: arrangement two, arrangement one.


Arrangement one

# AlAgSeBr2, optimized geometry, DFT PBE-GGA
data_AlAgSeBr2
_chemical_formula_sum 'Al1 Ag1 Se1 Br2'
_cell_length_a 5.377
_cell_length_b 5.377
_cell_length_c 5.164
_cell_angle_alpha 90.00
_cell_angle_beta 90.00
_cell_angle_gamma 90.00
_symmetry_space_group_name_H-M 'P 4/m m m'
_symmetry_Int_Tables_number 123
_symmetry_space_group_name_Hall '-P 4 2'
loop_
_atom_site_label
_atom_site_type_symbol
_atom_site_fract_x
_atom_site_fract_y
_atom_site_fract_z
Al1 Al 0.000 0.000 0.000
Ag1 Ag 0.500 0.500 0.500
Se1 Se 0.500 0.500 0.000
Br1 Br 0.000 0.500 0.500
# Spin magnetization, μB/cell: 1.0
# Crystal system: tetragonal


Arrangement two

# AlAgSeBr2, optimized geometry, DFT PBE-GGA
data_AlAgSeBr2
_chemical_formula_sum 'Al1 Ag1 Se1 Br2'
_cell_length_a 5.098
_cell_length_b 5.098
_cell_length_c 4.982
_cell_angle_alpha 90.00
_cell_angle_beta 90.00
_cell_angle_gamma 90.00
_symmetry_space_group_name_H-M 'P 4/m m m'
_symmetry_Int_Tables_number 123
_symmetry_space_group_name_Hall '-P 4 2'
loop_
_atom_site_label
_atom_site_type_symbol
_atom_site_fract_x
_atom_site_fract_y
_atom_site_fract_z
Al1 Al 0.000 0.000 0.000
Ag1 Ag 0.500 0.500 0.500
Se1 Se 0.000 0.000 0.500
Br1 Br 0.000 0.500 0.000
# Spin magnetization, μB/cell: 0.0
# Crystal system: tetragonal


Quick ranking, most stable first: arrangement two, arrangement one.